[1]
Entry from the Alexandria database: crystalline NiN at its relaxed geometry (GGA-PBE).

Lattice parameters (Å, degrees): 3.829 2.820 4.210 90.00 110.17 90.00
Space group P2/m (No. 10)
Symmetry-distinct sites (fractional):
Ni1 0.000 0.000 0.000 x1
Ni2 0.000 0.500 0.500 x1
N1 0.324 0.000 0.442 x2

polymorph energy (0 for the lowest one)	0.092	eV/atom
E	-6.717	eV per atom
ΔE_f (raw)	337	meV/atom

***

[2]
Entry from the Alexandria database: crystalline NiN at its relaxed geometry (GGA-PBE).

Lattice parameters (Å, degrees): 7.135 3.166 5.078 90.00 131.41 90.00
Space group Cm (No. 8)
Symmetry-distinct sites (fractional):
Ni1 0.000 0.000 0.000 x2
Ni2 0.009 0.500 0.449 x2
N1 0.108 0.000 0.744 x2
N2 0.351 0.000 0.983 x2

polymorph energy (0 for the lowest one)	0.164	eV/atom
E	-6.645	eV per atom
ΔE_f (raw)	408	meV/atom